1.
## Tb3Bi4Au3 (PBE)

Data for an optimized crystal structure of Tb3Bi4Au3.

```
Tb3Bi4Au3
1.0
8.3191 0.0000 -2.9413
-4.1596 7.2046 -2.9413
0.0000 0.0000 8.8238
Bi Tb Au
8 6 6
direct
0.0000 0.0000 0.8158
0.0000 0.0000 0.3158
0.1842 0.6842 0.6842
0.8158 0.5000 0.0000
0.5000 0.3158 0.5000
0.6842 0.1842 0.1842
0.5000 0.8158 0.5000
0.3158 0.5000 0.0000
0.2500 0.8750 0.1250
0.6250 0.7500 0.8750
0.3750 0.1250 0.7500
0.7500 0.6250 0.3750
0.1250 0.3750 0.2500
0.8750 0.2500 0.6250
0.6250 0.8750 0.2500
0.7500 0.1250 0.8750
0.8750 0.6250 0.7500
0.1250 0.7500 0.3750
0.2500 0.3750 0.6250
0.3750 0.2500 0.1250
```

Calculated values
Total moment in μB per formula unit: 0.00
Energy relative to the elements in eV per formula unit: -6.68

---

2.
## TbZnBiAu (PBE)

Data for an optimized crystal structure of TbZnBiAu.

```
TbZnBiAu
1.0
-2.3290 -4.4763 -0.6891
1.2511 -2.9372 -3.9678
2.5541 -4.3415 0.7509
Tb Bi Zn Au
1 1 1 1
direct
0.7500 0.7500 0.7500
0.2500 0.2500 0.2500
0.0000 0.0000 0.0000
0.5000 0.5000 0.5000
```

Calculated values
Total moment in μB per formula unit: 0.00
Energy relative to the elements in eV per formula unit: -1.46

---

3.
## Tc2Bi2Au (PBE)

Data for an optimized crystal structure of Tc2Bi2Au.

```
Tc2Bi2Au
1.0
3.6109 0.0000 0.0000
0.0000 3.6109 0.0000
1.8054 1.8054 8.6953
Au Bi Tc
1 2 2
direct
0.0000 0.0000 0.0000
0.3857 0.3857 0.2286
0.6143 0.6143 0.7714
0.7500 0.2500 0.5000
0.2500 0.7500 0.5000
```

Calculated values
Total moment in μB per formula unit: 0.00
Energy relative to the elements in eV per formula unit: 2.06

---

4.
## TcBiAu3 (PBE)

Data for an optimized crystal structure of TcBiAu3.

```
TcBiAu3
1.0
5.0375 0.0000 0.0000
0.0000 5.0375 0.0000
0.0000 0.0000 5.0375
Au Bi Tc
3 1 1
direct
0.0000 0.5000 0.0000
0.5000 0.0000 0.0000
0.0000 0.0000 0.5000
0.5000 0.5000 0.5000
0.0000 0.0000 0.0000
```

Calculated values
Total moment in μB per formula unit: 1.45
Distance to the lowest polymorph of the same formula in meV/atom: 0
Energy relative to the elements in eV per formula unit: 4.92

---

5.
## TcBiWAu2 (PBE)

Data for an optimized crystal structure of TcBiWAu2.

```
TcBiWAu2
1.0
-3.8136 2.0844 -2.5977
-3.3000 -3.1090 2.3500
-0.6223 3.4336 3.6687
Au Tc W Bi
2 1 1 1
direct
0.5000 0.0000 0.0000
0.0000 0.0000 0.5000
0.0000 0.0000 0.0000
0.5000 0.5000 0.5000
0.0000 0.5000 0.0000
```

Calculated values
Total moment in μB per formula unit: 5.73
Energy relative to the elements in eV per formula unit: 9.04

---

6.
## Bi2Te2Au (PBE)

Data for an optimized crystal structure of Bi2Te2Au.

```
Bi2Te2Au
1.0
8.0951 0.0000 0.0000
0.0000 8.0951 0.0000
0.0000 0.0000 4.6982
Bi Te Au
4 4 2
direct
0.8613 0.3613 0.5000
0.6387 0.8613 0.5000
0.3613 0.1387 0.5000
0.1387 0.6387 0.5000
0.6811 0.1811 0.0000
0.1811 0.3189 0.0000
0.8189 0.6811 0.0000
0.3189 0.8189 0.0000
0.5000 0.5000 0.0000
0.0000 0.0000 0.0000
```

Calculated values
Total moment in μB per formula unit: 0.00
Formation energy (no corrections) in kJ/mol of formula units: 96
Distance to the lowest polymorph of the same formula in meV/atom: 137

---

7.
## Bi4Te7Au (PBE)

Data for an optimized crystal structure of Bi4Te7Au.

```
Bi4Te7Au
1.0
4.4005 0.0000 0.0000
-2.2003 3.8110 0.0000
0.0000 0.0000 24.3714
Bi Te Au
4 7 1
direct
0.3333 0.6667 0.6473
0.6667 0.3333 0.0850
0.6667 0.3333 0.3527
0.3333 0.6667 0.9150
0.0000 0.0000 0.2805
0.0000 0.0000 0.0000
0.6667 0.3333 0.8431
0.0000 0.0000 0.7195
0.3333 0.6667 0.4388
0.6667 0.3333 0.5612
0.3333 0.6667 0.1569
0.0000 0.0000 0.5000
```

Calculated values
Total moment in μB per formula unit: 0.00
Formation energy (no corrections) in kJ/mol of formula units: -189

---

8.
## BiTeAu (PBE)

Data for an optimized crystal structure of BiTeAu.

```
BiTeAu
1.0
-0.8466 3.6617 -3.2940
-3.8743 -0.3113 -3.1413
-3.9372 3.0227 0.5810
Bi Au Te
1 1 1
direct
0.0000 0.0000 0.0000
0.2500 0.2500 0.2500
0.5000 0.5000 0.5000
```

Calculated values
Total moment in μB per formula unit: 0.00
Formation energy (no corrections) in kJ/mol of formula units: 26

---

Which value of total moment does entry 3 give? 0.00 μB per formula unit

---

Which formula does entry 6 have? Bi2Te2Au

---

Number 4 is which compound? TcBiAu3